# 1
HfPdW2: optimized geometry, GGA-PBE.

Cell lengths 3.773, 3.773, 20.658 Å; angles 90.00, 90.00, 90.00 degrees
Space group I-42d (No. 122)
Inequivalent atoms, fractional coordinates:
1 Hf 0.000 0.000 0.000 [4 per cell]
2 Pd 0.000 0.000 0.500 [4 per cell]
3 W 0.239 0.250 0.125 [8 per cell]

Values from the calculation:
The calculated volume comes out at 18.381 Å³/atom. For the total energy, the calculation gives -9.835 eV per atom. As for the energy relative to the lowest polymorph listed for this composition: 2.53 kJ/mol of atoms.

---

# 2
HfPdW3: optimized geometry, GGA-PBE.

Cell lengths 4.755, 4.755, 4.755 Å; angles 90.00, 90.00, 90.00 degrees
Space group Pm-3m (No. 221)
Inequivalent atoms, fractional coordinates:
1 Hf 0.000 0.000 0.000 [1 per cell]
2 Pd 0.500 0.500 0.500 [1 per cell]
3 W 0.000 0.000 0.500 [3 per cell]

Values from the calculation:
The calculated volume comes out at 21.507 Å³/atom. For the total energy, the calculation gives -8.300 eV per atom. As for the energy relative to the lowest polymorph listed for this composition: 53.77 kJ/mol of atoms.

---

# 3
HfPd2W: optimized geometry, GGA-PBE.

Cell lengths 6.484, 6.484, 6.484 Å; angles 90.00, 90.00, 90.00 degrees
Space group Fm-3m (No. 225)
Inequivalent atoms, fractional coordinates:
1 Hf 0.000 0.000 0.000 [4 per cell]
2 Pd 0.250 0.250 0.250 [8 per cell]
3 W 0.000 0.000 0.500 [4 per cell]

Values from the calculation:
The calculated volume comes out at 17.040 Å³/atom. For the total energy, the calculation gives -8.321 eV per atom. As for the energy relative to the lowest polymorph listed for this composition: 0.00 kJ/mol of atoms.

---

# 4
Hf2PdW2: optimized geometry, GGA-PBE.

Cell lengths 4.084, 4.084, 12.408 Å; angles 90.00, 90.00, 90.00 degrees
Space group I4/mmm (No. 139)
Inequivalent atoms, fractional coordinates:
1 Hf 0.000 0.500 0.250 [4 per cell]
2 Pd 0.000 0.000 0.000 [2 per cell]
3 W 0.000 0.000 0.405 [4 per cell]

Values from the calculation:
The calculated volume comes out at 20.690 Å³/atom. For the total energy, the calculation gives -9.127 eV per atom.

---

# 5
HfPd3W: optimized geometry, GGA-PBE.

Cell lengths 4.763, 4.763, 4.763 Å; angles 90.00, 90.00, 90.00 degrees
Space group Pm-3m (No. 221)
Inequivalent atoms, fractional coordinates:
1 Hf 0.000 0.000 0.000 [1 per cell]
2 Pd 0.000 0.500 0.500 [3 per cell]
3 W 0.500 0.500 0.500 [1 per cell]

Values from the calculation:
The calculated volume comes out at 21.609 Å³/atom. For the total energy, the calculation gives -6.694 eV per atom. As for the energy relative to the lowest polymorph listed for this composition: 0.00 kJ/mol of atoms.

---

# 6
HfPd2W: optimized geometry, GGA-PBE.

Cell lengths 3.972, 3.972, 18.493 Å; angles 90.00, 90.00, 90.00 degrees
Space group I-42d (No. 122)
Inequivalent atoms, fractional coordinates:
1 Hf 0.000 0.000 0.000 [4 per cell]
2 Pd 0.243 0.250 0.625 [8 per cell]
3 W 0.000 0.000 0.500 [4 per cell]

Values from the calculation:
The calculated volume comes out at 18.238 Å³/atom. For the total energy, the calculation gives -8.043 eV per atom. As for the energy relative to the lowest polymorph listed for this composition: 26.78 kJ/mol of atoms.